(1)
{
  "formula": "Mg2ScBe",
  "functional": "SCAN",
  "state": "single point on PBEsol structure",
  "cell": [[5.3048, -1.6672, 0.0000], [5.3048, 1.6672, 0.0000], [-2.2146, 0.0000, 4.3159]],
  "species": ["Mg", "Mg", "Sc", "Be"],
  "fractional_positions": [[0.0000, 0.0000, 0.0000], [0.2164, 0.2164, 0.7174], [0.4307, 0.4307, 0.4310], [0.7093, 0.7093, 0.2120]]
}


(2)
{
  "formula": "Mg4BeSe",
  "functional": "SCAN",
  "state": "single point on PBEsol structure",
  "cell": [[0.0000, 3.9760, 3.9760], [3.9760, 0.0000, 3.9760], [3.9760, 3.9760, 0.0000]],
  "species": ["Mg", "Mg", "Mg", "Mg", "Be", "Se"],
  "fractional_positions": [[0.1250, 0.1250, 0.1250], [0.1250, 0.1250, 0.6249], [0.1250, 0.6249, 0.1250], [0.6249, 0.1250, 0.1250], [0.5000, 0.5000, 0.5000], [0.7500, 0.7500, 0.7500]]
}


(3)
{
  "formula": "MgBeSe4",
  "functional": "SCAN",
  "state": "single point on PBEsol structure",
  "cell": [[0.0000, 3.9898, 3.9898], [3.9898, 0.0000, 3.9898], [3.9898, 3.9898, 0.0000]],
  "species": ["Mg", "Be", "Se", "Se", "Se", "Se"],
  "fractional_positions": [[0.0000, 0.0000, 0.0000], [0.2500, 0.2500, 0.2500], [0.1283, 0.6239, 0.6239], [0.6239, 0.1283, 0.6239], [0.6239, 0.6239, 0.1283], [0.6239, 0.6239, 0.6239]]
}


Values of VASP energy, in order: -6.932 -6.980 -14.194, all in eV per atom.